The following is a DFT calculation (meta-GGA SCAN) of KOs at its PBEsol-relaxed geometry.

## Properties
- ΔE_f: 1.32 eV/atom
- Uncorrected energy: -38.782 eV/atom
- Symmetry: P4/mmm, No. 123
- Total magnetic moment: 0.00 μB per atom

a = 2.619 Å, b = 2.619 Å, c = 5.596 Å
α = 90.00°, β = 90.00°, γ = 90.00°
Fractional coordinates of all 2 atoms:
K 0.000 0.000 0.000
Os 0.500 0.500 0.500

=====

The following is a DFT calculation (meta-GGA SCAN) of Zr2CdAu at its PBEsol-relaxed geometry.

## Properties
- ΔE_f: -0.43 eV/atom
- Uncorrected energy: -40.677 eV/atom
- Symmetry: P4mm, No. 99
- Total magnetic moment: 0.00 μB per atom

a = 3.484 Å, b = 3.484 Å, c = 6.598 Å
α = 90.00°, β = 90.00°, γ = 90.00°
Fractional coordinates of all 4 atoms:
Au 0.000 0.000 0.501
Zr 0.500 0.500 0.272
Cd 0.500 0.500 0.736
Zr 0.000 0.000 0.990

=====

Q: Which value of total magnetic moment does entry 2 give?
A: 0.00 μB per atom